First-principles (PBE) data for an optimized crystal structure of TcIrSe2, as listed in Alexandria via LeMat-Bulk.

Calculated values
E_tot = -24.2 eV for the cell shown
Distance to the lowest polymorph of the same formula = 438 meV per atom
Spin magnetization = 0.00 μB/atom
Crystal system = trigonal
Raw formation energy = 0.491 eV/atom

Cell lengths 8.085, 8.085, 8.085 Å; angles 24.21, 24.21, 24.21 degrees
Sites, in units of the cell vectors:
Se 0.101 0.101 0.101
Se 0.899 0.899 0.899
Tc 0.000 0.000 0.000
Ir 0.500 0.500 0.500

First-principles (PBE) data for an optimized crystal structure of TcIrSe4, as listed in Alexandria via LeMat-Bulk.

Calculated values
E_tot = -24.5 eV for the cell shown
Distance to the lowest polymorph of the same formula = 1774 meV per atom
Spin magnetization = 0.54 μB/atom
Crystal system = cubic
Raw formation energy = 1.443 eV/atom

Cell lengths 5.481, 5.481, 5.481 Å; angles 60.00, 60.00, 60.00 degrees
Sites, in units of the cell vectors:
Se 0.878 0.374 0.374
Se 0.374 0.374 0.374
Se 0.374 0.374 0.878
Se 0.374 0.878 0.374
Ir 0.000 0.000 0.000
Tc 0.750 0.750 0.750

First-principles (PBE) data for an optimized crystal structure of TcIr3Se, as listed in Alexandria via LeMat-Bulk.

Calculated values
E_tot = -32.6 eV for the cell shown
Spin magnetization = 0.91 μB/atom
Crystal system = cubic
Raw formation energy = 1.562 eV/atom

Cell lengths 4.576, 4.576, 4.576 Å; angles 90.00, 90.00, 90.00 degrees
Sites, in units of the cell vectors:
Ir 0.000 0.000 0.500
Ir 0.000 0.500 0.000
Ir 0.500 0.000 0.000
Se 0.000 0.000 0.000
Tc 0.500 0.500 0.500

First-principles (PBE) data for an optimized crystal structure of TcIr2Se, as listed in Alexandria via LeMat-Bulk.

Calculated values
E_tot = -30.2 eV for the cell shown
Spin magnetization = 0.00 μB/atom
Crystal system = orthorhombic
Raw formation energy = 0.337 eV/atom

Cell lengths 2.828, 3.674, 5.906 Å; angles 90.00, 90.00, 90.00 degrees
Sites, in units of the cell vectors:
Se 0.000 0.000 0.496
Ir 0.500 0.500 0.241
Ir 0.000 0.000 0.990
Tc 0.500 0.500 0.773

First-principles (PBE) data for an optimized crystal structure of TcIrSe2, as listed in Alexandria via LeMat-Bulk.

Calculated values
E_tot = -25.2 eV for the cell shown
Distance to the lowest polymorph of the same formula = 207 meV per atom
Spin magnetization = 0.00 μB/atom
Crystal system = monoclinic
Raw formation energy = 0.260 eV/atom

Cell lengths 4.377, 4.377, 5.247 Å; angles 80.08, 80.08, 40.77 degrees
Sites, in units of the cell vectors:
Ir 0.250 0.250 0.250
Se 0.022 0.022 0.988
Se 0.478 0.478 0.512
Tc 0.750 0.750 0.750

First-principles (PBE) data for an optimized crystal structure of TcIr2Se, as listed in Alexandria via LeMat-Bulk.

Calculated values
E_tot = -30.3 eV for the cell shown
Spin magnetization = 0.00 μB/atom
Crystal system = monoclinic
Raw formation energy = 0.318 eV/atom

Cell lengths 4.730, 4.730, 4.992 Å; angles 75.79, 75.79, 34.85 degrees
Sites, in units of the cell vectors:
Ir 0.001 0.001 0.018
Ir 0.762 0.762 0.776
Tc 0.244 0.244 0.240
Se 0.492 0.492 0.467

First-principles (PBE) data for an optimized crystal structure of TcIrSe, as listed in Alexandria via LeMat-Bulk.

Calculated values
E_tot = -44.6 eV for the cell shown
Distance to the lowest polymorph of the same formula = 0 meV per atom
Spin magnetization = 0.00 μB/atom
Crystal system = orthorhombic
Raw formation energy = 0.136 eV/atom

Cell lengths 2.942, 2.942, 12.577 Å; angles 90.00, 90.00, 120.00 degrees
Sites, in units of the cell vectors:
Tc 0.444 0.887 0.500
Tc 0.445 0.891 0.000
Ir 0.112 0.224 0.839
Ir 0.112 0.224 0.161
Se 0.777 0.554 0.649
Se 0.777 0.554 0.351

First-principles (PBE) data for an optimized crystal structure of TcIr2Se, as listed in Alexandria via LeMat-Bulk.

Calculated values
E_tot = -30.7 eV for the cell shown
Spin magnetization = 0.00 μB/atom
Crystal system = trigonal
Raw formation energy = 0.217 eV/atom

Cell lengths 8.810, 8.810, 8.810 Å; angles 18.58, 18.58, 18.58 degrees
Sites, in units of the cell vectors:
Se 0.250 0.250 0.250
Ir 0.499 0.499 0.499
Ir 0.001 0.001 0.001
Tc 0.750 0.750 0.750